No. 1
LiGe2Cl5 after structural relaxation. Source: Alexandria via LeMat-Bulk, functional PBE.

As for the excess energy over the best structure of this formula in the dataset: 17 meV/atom. As for the total energy: -3.558 eV per atom.

Geometry as CIF:
```
data_LiGe2Cl5
_chemical_formula_sum 'Li4 Ge8 Cl20'
_cell_length_a 5.3205
_cell_length_b 12.6042
_cell_length_c 13.9093
_cell_angle_alpha 90.00
_cell_angle_beta 90.00
_cell_angle_gamma 90.00
_symmetry_space_group_name_H-M 'C m c m'
_symmetry_Int_Tables_number 63
_symmetry_space_group_name_Hall '-C 2c 2'
loop_
_atom_site_label
_atom_site_type_symbol
_atom_site_fract_x
_atom_site_fract_y
_atom_site_fract_z
Li1 Li 0.0000 0.1960 0.2500
Ge1 Ge 0.0000 0.3708 0.5673
Cl1 Cl 0.0000 0.1515 0.0831
Cl2 Cl 0.0000 0.2999 0.7500
Cl3 Cl 0.0000 0.4499 0.1156
```

---

No. 2
ScNbVGa after structural relaxation. Source: Alexandria via LeMat-Bulk, functional PBE.

The formation energy is -93 meV/atom. As for the total energy: -7.229 eV per atom.

Geometry as CIF:
```
data_ScNbVGa
_chemical_formula_sum 'Sc4 Nb4 V4 Ga4'
_cell_length_a 6.5110
_cell_length_b 6.5110
_cell_length_c 6.5110
_cell_angle_alpha 90.00
_cell_angle_beta 90.00
_cell_angle_gamma 90.00
_symmetry_space_group_name_H-M 'F -4 3 m'
_symmetry_Int_Tables_number 216
_symmetry_space_group_name_Hall 'F -4 2 3'
loop_
_atom_site_label
_atom_site_type_symbol
_atom_site_fract_x
_atom_site_fract_y
_atom_site_fract_z
Sc1 Sc 0.0000 0.0000 0.0000
Nb1 Nb 0.0000 0.0000 0.5000
V1 V 0.2500 0.2500 0.7500
Ga1 Ga 0.2500 0.2500 0.2500
```

---

No. 3
Mg3PN after structural relaxation. Source: Alexandria via LeMat-Bulk, functional PBE.

As for the excess energy over the best structure of this formula in the dataset: 13 meV/atom. As for the total energy: -4.429 eV per atom.

Geometry as CIF:
```
data_Mg3PN
_chemical_formula_sum 'Mg3 P1 N1'
_cell_length_a 4.1859
_cell_length_b 4.1859
_cell_length_c 4.1859
_cell_angle_alpha 90.00
_cell_angle_beta 90.00
_cell_angle_gamma 90.00
_symmetry_space_group_name_H-M 'P m -3 m'
_symmetry_Int_Tables_number 221
_symmetry_space_group_name_Hall '-P 4 2 3'
loop_
_atom_site_label
_atom_site_type_symbol
_atom_site_fract_x
_atom_site_fract_y
_atom_site_fract_z
Mg1 Mg 0.0000 0.0000 0.5000
P1 P 0.5000 0.5000 0.5000
N1 N 0.0000 0.0000 0.0000
```

---

no.,mass density (g/cm3)
1,2.3
2,6.2
3,2.7